NdHoCu2As2P2 | GGA-PBE | relaxed

Unit cell a=3.848 b=3.848 c=9.906 alpha=90.00 beta=90.00 gamma=90.00
Fractional coordinates of all 8 atoms:
As  0.500  0.000  0.992
As  0.000  0.500  0.992
Cu  0.500  0.000  0.505
Cu  0.000  0.500  0.505
Ho  0.500  0.500  0.755
Nd  0.000  0.000  0.241
P  0.500  0.500  0.357
P  0.000  0.000  0.654

Output
The calculation puts the theoretical density at 7.3 g/cm³. The value obtained for the magnetization is 0.00 μB/f.u. Its calculated total energy is -5.490 eV per atom.